DFT (meta-GGA SCAN) results for MgCuPb2 at its PBEsol-relaxed geometry.

```
MgCuPb2
1.0
4.755 0.000 0.000
-2.377 4.601 0.105
0.000 2.363 4.126
Pb Cu Mg
2 1 1
Cartesian
0.000 2.891 1.084 Pb
2.377 4.072 3.147 Pb
2.377 1.181 2.063 Cu
0.000 0.000 0.000 Mg
```

Final energy: -42.785 eV per atom
DFT formation energy: 0.6 eV per formula unit
Crystal system: tetragonal